This record from Alexandria describes CdCo2AuO after structural relaxation. The functional is GGA+U.

Values from the calculation:
Calculated total energy = -2.719 eV per atom
Distance to the lowest polymorph of the same formula = 5.24 eV per formula unit
Calculated volume = 19.56 A^3/atom

Structure (extended XYZ):
```
5
Lattice="4.968 0.000 0.000 0.000 4.968 0.000 0.000 0.000 3.961" Properties=species:S:1:pos:R:3 pbc="T T T"
Cd 0.000 0.000 0.000
Co 0.000 2.484 0.000
Co 2.484 0.000 0.000
Au 2.484 2.484 1.981
O 0.000 0.000 1.981
```